[1]
MgZr2B2Ir5 | PBE-GGA | optimized geometry

Unit cell a=9.4771 b=9.4771 c=3.1676 alpha=90.00 beta=90.00 gamma=90.00
With the nearest neighbours (Å) after each atom.
Sites, in units of the cell vectors:
Mg1 0.0000 0.0000 0.0000  8 Ir 2.71
Mg2 0.5000 0.5000 0.0000  8 Ir 2.71
Zr1 0.1775 0.3225 0.0000  3 B 2.67-2.90, 6 Ir 2.86-2.90
Zr2 0.3225 0.8225 0.0000  3 B 2.67-2.90, 6 Ir 2.86-2.90
Zr3 0.6775 0.1775 0.0000  3 B 2.67-2.90, 6 Ir 2.86-2.90
Zr4 0.8225 0.6775 0.0000  3 B 2.67-2.90, 6 Ir 2.86-2.90
B1 0.1236 0.6236 0.0000  6 Ir 2.22-2.29
B2 0.3764 0.1236 0.0000  6 Ir 2.22-2.29
B3 0.6236 0.8764 0.0000  6 Ir 2.22-2.29
B4 0.8764 0.3764 0.0000  6 Ir 2.22-2.29
Ir1 0.0000 0.5000 0.5000  4 B 2.29
Ir2 0.0699 0.7788 0.5000  2 B 2.22
Ir3 0.2212 0.0699 0.5000  2 B 2.22
Ir4 0.2788 0.5699 0.5000  2 B 2.22
Ir5 0.4301 0.2788 0.5000  2 B 2.22
Ir6 0.5000 0.0000 0.5000  4 B 2.29
Ir7 0.5699 0.7212 0.5000  2 B 2.22
Ir8 0.7212 0.4301 0.5000  2 B 2.22
Ir9 0.7788 0.9301 0.5000  2 B 2.22
Ir10 0.9301 0.2212 0.5000  2 B 2.22

Values from the calculation:
Formation energy   -0.73 eV per atom
Uncorrected energy   -8.367 eV/atom

---

[2]
Pu2CdCl11 | PBE-GGA | optimized geometry

Unit cell a=11.3472 b=11.3472 c=11.3472 alpha=125.48 beta=98.16 gamma=106.12
With the nearest neighbours (Å) after each atom.
Sites, in units of the cell vectors:
Pu1 0.0786 0.2319 0.3104  6 Cl 2.47-2.68
Pu2 0.4214 0.7319 0.1533  6 Cl 2.47-2.68
Pu3 0.5786 0.2681 0.8467  6 Cl 2.47-2.68
Pu4 0.9214 0.7681 0.6896  6 Cl 2.47-2.68
Cd1 0.2500 0.7500 0.5000  4 Cl 2.56
Cd2 0.7500 0.2500 0.5000  4 Cl 2.56
Cl1 0.0000 0.0000 0.0000  2 Pu 2.68
Cl2 0.0430 0.0189 0.3300  1 Pu 2.48
Cl3 0.0889 0.4502 0.2785  1 Cd 2.56, 1 Pu 2.68
Cl4 0.1611 0.4383 0.5994  1 Pu 2.47
Cl5 0.1717 0.8104 0.7215  1 Cd 2.56, 1 Pu 2.68
Cl6 0.1889 0.5189 0.9759  1 Pu 2.48
Cl7 0.3111 0.2870 0.3300  1 Pu 2.48
Cl8 0.3283 0.0498 0.6387  1 Cd 2.56, 1 Pu 2.68
Cl9 0.3389 0.9383 0.2772  1 Pu 2.47
Cl10 0.4111 0.6896 0.3613  1 Cd 2.56, 1 Pu 2.68
Cl11 0.4570 0.7870 0.9759  1 Pu 2.48
Cl12 0.5000 0.5000 0.0000  2 Pu 2.68
Cl13 0.5430 0.2130 0.0241  1 Pu 2.48
Cl14 0.5889 0.3104 0.6387  1 Cd 2.56, 1 Pu 2.68
Cl15 0.6611 0.0617 0.7228  1 Pu 2.47
Cl16 0.6717 0.9502 0.3613  1 Cd 2.56, 1 Pu 2.68
Cl17 0.6889 0.7130 0.6700  1 Pu 2.48
Cl18 0.8111 0.4811 0.0241  1 Pu 2.48
Cl19 0.8283 0.1896 0.2785  1 Cd 2.56, 1 Pu 2.68
Cl20 0.8389 0.5617 0.4006  1 Pu 2.47
Cl21 0.9111 0.5498 0.7215  1 Cd 2.56, 1 Pu 2.68
Cl22 0.9570 0.9811 0.6700  1 Pu 2.48

Values from the calculation:
Uncorrected energy   -4.907 eV/atom

---

[3]
AcCd4 | PBE-GGA | optimized geometry

Unit cell a=7.0058 b=7.0058 c=7.0058 alpha=140.69 beta=140.69 gamma=56.81
With the nearest neighbours (Å) after each atom.
Sites, in units of the cell vectors:
Ac1 0.0000 0.0000 0.0000  16 Cd 3.61-3.88
Cd1 0.2500 0.7500 0.5000  4 Cd 2.90
Cd2 0.3870 0.3870 0.0000  5 Cd 2.79-2.90
Cd3 0.6130 0.6130 0.0000  5 Cd 2.79-2.90
Cd4 0.7500 0.2500 0.5000  4 Cd 2.90

Values from the calculation:
Formation energy   -0.26 eV per atom
Uncorrected energy   -1.811 eV/atom

---

[4]
K4MgTl5 | PBE-GGA | optimized geometry

Unit cell a=8.3126 b=8.3126 c=8.3126 alpha=101.14 beta=101.14 gamma=127.86
With the nearest neighbours (Å) after each atom.
Sites, in units of the cell vectors:
K1 0.0679 0.6909 0.7588  5 Tl 3.60-3.86, 1 Mg 3.70
K2 0.3091 0.0679 0.3770  5 Tl 3.60-3.86, 1 Mg 3.70
K3 0.6909 0.9321 0.6230  5 Tl 3.60-3.86, 1 Mg 3.70
K4 0.9321 0.3091 0.2412  5 Tl 3.60-3.86, 1 Mg 3.70
Mg1 0.2165 0.2165 0.0000  5 Tl 2.91-3.10
Tl1 0.3027 0.4275 0.7220  1 Mg 3.10, 3 Tl 3.22-3.23
Tl2 0.4275 0.7055 0.1248  1 Mg 3.10, 3 Tl 3.22-3.23
Tl3 0.5807 0.3027 0.8752  1 Mg 3.10, 3 Tl 3.22-3.23
Tl4 0.7055 0.5807 0.2780  1 Mg 3.10, 3 Tl 3.22-3.23
Tl5 0.8176 0.8176 0.0000  1 Mg 2.91, 4 Tl 3.23

Values from the calculation:
Formation energy   -0.04 eV per atom
Uncorrected energy   -1.823 eV/atom

---

[5]
ZrPaW4 | PBE-GGA | optimized geometry

Unit cell a=5.4911 b=5.4911 c=5.4911 alpha=60.00 beta=60.00 gamma=60.00
With the nearest neighbours (Å) after each atom.
Sites, in units of the cell vectors:
Zr1 0.0000 0.0000 0.0000  12 W 3.22, 4 Pa 3.36
Pa1 0.2500 0.2500 0.2500  12 W 3.22, 4 Zr 3.36
W1 0.1256 0.6248 0.6248  6 W 2.74-2.75
W2 0.6248 0.1256 0.6248  6 W 2.74-2.75
W3 0.6248 0.6248 0.1256  6 W 2.74-2.75
W4 0.6248 0.6248 0.6248  6 W 2.74-2.75

Values from the calculation:
Formation energy   0.08 eV per atom
Uncorrected energy   -11.568 eV/atom

---

[6]
CaTa2Re | PBE-GGA | optimized geometry

Unit cell a=5.8015 b=5.8015 c=5.8015 alpha=148.20 beta=127.98 gamma=62.27
With the nearest neighbours (Å) after each atom.
Sites, in units of the cell vectors:
Ca1 0.0000 0.0000 0.0000  4 Re 3.00, 2 Ca 3.18, 8 Ta 3.27-3.31
Ta1 0.2875 0.7875 0.5000  2 Re 2.64
Ta2 0.7125 0.2125 0.5000  2 Re 2.64
Re1 0.5000 0.5000 0.0000  4 Ta 2.64

Values from the calculation:
Formation energy   0.42 eV per atom
Uncorrected energy   -9.123 eV/atom

---

[7]
SrSi3Bi | PBE-GGA | optimized geometry

Unit cell a=5.4544 b=5.4544 c=5.4544 alpha=90.00 beta=90.00 gamma=90.00
With the nearest neighbours (Å) after each atom.
Sites, in units of the cell vectors:
Sr1 0.0000 0.0000 0.0000  6 Si 2.73
Si1 0.0000 0.0000 0.5000  2 Sr 2.73
Si2 0.0000 0.5000 0.0000  2 Sr 2.73
Si3 0.5000 0.0000 0.0000  2 Sr 2.73
Bi1 0.5000 0.5000 0.5000  12 Si 3.86

Values from the calculation:
Uncorrected energy   -2.823 eV/atom

---

[8]
NpHgGeAu | PBE-GGA | optimized geometry

Unit cell a=4.9639 b=4.9639 c=4.9639 alpha=60.00 beta=60.00 gamma=60.00
With the nearest neighbours (Å) after each atom.
Sites, in units of the cell vectors:
Np1 0.0000 0.0000 0.0000  4 Ge 3.04, 4 Au 3.04
Hg1 0.5000 0.5000 0.5000  4 Ge 3.04, 4 Au 3.04
Ge1 0.7500 0.7500 0.7500  4 Hg 3.04, 4 Np 3.04
Au1 0.2500 0.2500 0.2500  4 Hg 3.04, 4 Np 3.04

Values from the calculation:
Formation energy   -0.02 eV per atom
Uncorrected energy   -5.301 eV/atom

---

[9]
NiRu2 | PBE-GGA | optimized geometry

Unit cell a=11.7356 b=11.7356 c=11.7356 alpha=167.09 beta=167.09 gamma=18.29
With the nearest neighbours (Å) after each atom.
Sites, in units of the cell vectors:
Ni1 0.3750 0.6250 0.7500  8 Ru 2.60, 4 Ni 2.64
Ni2 0.6250 0.3750 0.2500  8 Ru 2.60, 4 Ni 2.64
Ru1 0.0468 0.7968 0.2500  6 Ru 2.54-2.64, 4 Ni 2.60
Ru2 0.2032 0.9532 0.2500  6 Ru 2.54-2.64, 4 Ni 2.60
Ru3 0.7968 0.0468 0.7500  6 Ru 2.54-2.64, 4 Ni 2.60
Ru4 0.9532 0.2032 0.7500  6 Ru 2.54-2.64, 4 Ni 2.60

Values from the calculation:
Formation energy   0.32 eV per atom
Uncorrected energy   -7.792 eV/atom

---

[10]
SnB3P | PBE-GGA | optimized geometry

Unit cell a=3.9965 b=3.9965 c=3.9965 alpha=90.00 beta=90.00 gamma=90.00
With the nearest neighbours (Å) after each atom.
Sites, in units of the cell vectors:
Sn1 0.0000 0.0000 0.0000  12 B 2.83
B1 0.0000 0.5000 0.5000  2 P 2.00
B2 0.5000 0.0000 0.5000  2 P 2.00
B3 0.5000 0.5000 0.0000  2 P 2.00
P1 0.5000 0.5000 0.5000  6 B 2.00

Values from the calculation:
Formation energy   1.34 eV per atom
Uncorrected energy   -4.553 eV/atom

---

[11]
Tl4TeAs | PBE-GGA | optimized geometry

Unit cell a=6.4358 b=6.4358 c=6.4358 alpha=60.00 beta=60.00 gamma=60.00
With the nearest neighbours (Å) after each atom.
Sites, in units of the cell vectors:
Tl1 0.1250 0.1250 0.1250  6 Tl 3.22
Tl2 0.1250 0.1250 0.6250  6 Tl 3.22
Tl3 0.1250 0.6250 0.1250  6 Tl 3.22
Tl4 0.6250 0.1250 0.1250  6 Tl 3.22
Te1 0.5000 0.5000 0.5000  12 Tl 3.77, 4 As 3.94
As1 0.7500 0.7500 0.7500  12 Tl 3.77, 4 Te 3.94

Values from the calculation:
Uncorrected energy   -2.605 eV/atom

---

[12]
SiRuO2F | PBE-GGA | optimized geometry

Unit cell a=3.4996 b=3.4996 c=4.2609 alpha=90.00 beta=90.00 gamma=90.00
With the nearest neighbours (Å) after each atom.
Sites, in units of the cell vectors:
Si1 0.0000 0.0000 0.0000  4 O 1.75
Ru1 0.5000 0.5000 0.5000  4 F 2.47, 8 O 2.76
O1 0.0000 0.5000 0.0000  2 Si 1.75
O2 0.5000 0.0000 0.0000  2 Si 1.75
F1 0.0000 0.0000 0.5000  2 Si 2.13

Values from the calculation:
Uncorrected energy   -6.128 eV/atom

---

Q: Which of these has the highest uncorrected energy?
A: AcCd4